DFT (PBE) results for an optimized crystal structure of Ce2NdSn.

```
Ce2NdSn
1.0
0.000 3.884 3.884
3.884 0.000 3.884
3.884 3.884 0.000
Ce Nd Sn
2 1 1
direct
0.250 0.250 0.250 Ce
0.750 0.750 0.750 Ce
0.000 0.000 0.000 Nd
0.500 0.500 0.500 Sn
```

Computed properties:
Polymorph energy (0 for the lowest one) (eV/atom): 0.2544
E (eV/atom): -5.321
Symmetry: No. 225
DFT formation energy (eV/atom): -0.1613


DFT (PBE) results for an optimized crystal structure of CeNd2Sn.

```
CeNd2Sn
1.0
0.000 3.898 3.898
3.898 0.000 3.898
3.898 3.898 0.000
Ce Nd Sn
1 2 1
direct
0.000 0.000 0.000 Ce
0.250 0.250 0.250 Nd
0.750 0.750 0.750 Nd
0.500 0.500 0.500 Sn
```

Computed properties:
Polymorph energy (0 for the lowest one) (eV/atom): 0.1907
E (eV/atom): -5.084
Symmetry: No. 225
DFT formation energy (eV/atom): -0.2162


DFT (PBE) results for an optimized crystal structure of Ce2NdSn.

```
Ce2NdSn
1.0
4.545 0.000 0.000
0.000 4.425 0.000
-1.957 0.000 11.486
Ce Nd Sn
4 2 2
direct
0.000 0.250 0.114 Ce
0.000 0.750 0.886 Ce
0.392 0.250 0.886 Ce
0.608 0.750 0.114 Ce
0.301 0.750 0.610 Nd
0.699 0.250 0.390 Nd
0.178 0.750 0.324 Sn
0.822 0.250 0.676 Sn
```

Computed properties:
Polymorph energy (0 for the lowest one) (eV/atom): 0.0000
E (eV/atom): -5.575
Symmetry: No. 11
DFT formation energy (eV/atom): -0.4157


DFT (PBE) results for an optimized crystal structure of Ce2Nd5Sn4.

```
Ce2Nd5Sn4
1.0
13.581 -1.765 0.000
13.581 1.765 0.000
-0.252 0.000 7.590
Ce Nd Sn
2 5 4
direct
0.090 0.090 0.294 Ce
0.910 0.910 0.706 Ce
0.137 0.137 0.838 Nd
0.233 0.233 0.221 Nd
0.500 0.500 0.000 Nd
0.767 0.767 0.779 Nd
0.863 0.863 0.162 Nd
0.031 0.031 0.658 Sn
0.327 0.327 0.494 Sn
0.673 0.673 0.506 Sn
0.969 0.969 0.342 Sn
```

Computed properties:
E (eV/atom): -4.919
Symmetry: No. 12
DFT formation energy (eV/atom): -0.2174


DFT (PBE) results for an optimized crystal structure of Ce2NdSn2.

```
Ce2NdSn2
1.0
3.352 -8.396 0.000
3.352 8.396 0.000
0.000 0.000 5.730
Ce Nd Sn
4 2 4
direct
0.074 0.926 0.750 Ce
0.301 0.699 0.250 Ce
0.699 0.301 0.750 Ce
0.926 0.074 0.250 Ce
0.500 0.500 0.000 Nd
0.500 0.500 0.500 Nd
0.096 0.365 0.750 Sn
0.365 0.096 0.250 Sn
0.635 0.904 0.750 Sn
0.904 0.635 0.250 Sn
```

Computed properties:
E (eV/atom): -5.250
Symmetry: No. 63
DFT formation energy (eV/atom): -0.3215


DFT (PBE) results for an optimized crystal structure of Ce2NdSn.

```
Ce2NdSn
1.0
4.746 0.000 0.000
0.000 4.746 0.000
0.000 0.000 5.043
Ce Nd Sn
2 1 1
direct
0.000 0.500 0.000 Ce
0.500 0.000 0.000 Ce
0.000 0.000 0.500 Nd
0.500 0.500 0.500 Sn
```

Computed properties:
Polymorph energy (0 for the lowest one) (eV/atom): 0.0224
E (eV/atom): -5.553
Symmetry: No. 123
DFT formation energy (eV/atom): -0.3933


DFT (PBE) results for an optimized crystal structure of CeNd3Sn12.

```
CeNd3Sn12
1.0
4.778 0.000 0.000
0.000 4.778 0.000
0.000 0.000 18.917
Ce Nd Sn
1 3 12
direct
0.000 0.000 0.000 Ce
0.000 0.000 0.246 Nd
0.000 0.000 0.500 Nd
0.000 0.000 0.754 Nd
0.000 0.500 0.122 Sn
0.000 0.500 0.374 Sn
0.000 0.500 0.626 Sn
0.000 0.500 0.878 Sn
0.500 0.000 0.122 Sn
0.500 0.000 0.374 Sn
0.500 0.000 0.626 Sn
0.500 0.000 0.878 Sn
0.500 0.500 0.000 Sn
0.500 0.500 0.249 Sn
0.500 0.500 0.500 Sn
0.500 0.500 0.751 Sn
```

Computed properties:
E (eV/atom): -4.778
Symmetry: No. 123
DFT formation energy (eV/atom): -0.5110


DFT (PBE) results for an optimized crystal structure of CeNd2Sn.

```
CeNd2Sn
1.0
1.717 0.992 12.071
-1.717 0.992 12.071
0.000 -1.983 12.071
Ce Nd Sn
1 2 1
direct
0.000 0.000 0.000 Ce
0.092 0.092 0.092 Nd
0.908 0.908 0.908 Nd
0.500 0.500 0.500 Sn
```

Computed properties:
Polymorph energy (0 for the lowest one) (eV/atom): 0.4039
E (eV/atom): -4.871
Symmetry: No. 166
DFT formation energy (eV/atom): -0.0030


DFT (PBE) results for an optimized crystal structure of Ce2Nd2Sn3.

```
Ce2Nd2Sn3
1.0
4.642 -2.724 0.000
4.642 2.724 0.000
-2.991 0.000 8.926
Ce Nd Sn
2 2 3
direct
0.128 0.128 0.391 Ce
0.872 0.872 0.609 Ce
0.376 0.376 0.136 Nd
0.624 0.624 0.864 Nd
0.260 0.260 0.776 Sn
0.500 0.500 0.500 Sn
0.740 0.740 0.224 Sn
```

Computed properties:
E (eV/atom): -5.279
Symmetry: No. 12
DFT formation energy (eV/atom): -0.5054


DFT (PBE) results for an optimized crystal structure of CeNd5Sn6.

```
CeNd5Sn6
1.0
-2.501 4.543 7.533
2.501 -4.543 7.533
2.501 4.543 -7.533
Ce Nd Sn
1 5 6
direct
0.000 0.000 0.000 Ce
0.167 0.667 0.500 Nd
0.334 0.334 0.000 Nd
0.500 0.000 0.500 Nd
0.666 0.666 0.000 Nd
0.833 0.333 0.500 Nd
0.083 0.834 0.249 Sn
0.249 0.500 0.749 Sn
0.416 0.166 0.249 Sn
0.584 0.834 0.751 Sn
0.751 0.500 0.251 Sn
0.917 0.166 0.751 Sn
```

Computed properties:
E (eV/atom): -5.140
Symmetry: No. 71
DFT formation energy (eV/atom): -0.6572


DFT (PBE) results for an optimized crystal structure of CeNd4Sn15.

```
CeNd4Sn15
1.0
4.743 0.000 0.000
0.000 4.743 0.000
0.000 0.000 24.088
Ce Nd Sn
1 4 15
direct
0.000 0.000 0.000 Ce
0.000 0.000 0.196 Nd
0.000 0.000 0.399 Nd
0.000 0.000 0.601 Nd
0.000 0.000 0.804 Nd
0.000 0.500 0.098 Sn
0.000 0.500 0.299 Sn
0.000 0.500 0.500 Sn
0.000 0.500 0.701 Sn
0.000 0.500 0.902 Sn
0.500 0.000 0.098 Sn
0.500 0.000 0.299 Sn
0.500 0.000 0.500 Sn
0.500 0.000 0.701 Sn
0.500 0.000 0.902 Sn
0.500 0.500 0.000 Sn
0.500 0.500 0.199 Sn
0.500 0.500 0.399 Sn
0.500 0.500 0.601 Sn
0.500 0.500 0.801 Sn
```

Computed properties:
E (eV/atom): -4.753
Symmetry: No. 123
DFT formation energy (eV/atom): -0.5004


DFT (PBE) results for an optimized crystal structure of CeNd2Sn.

```
CeNd2Sn
1.0
4.145 0.000 0.000
0.000 4.145 0.000
0.000 0.000 7.060
Ce Nd Sn
1 2 1
direct
0.000 0.000 0.000 Ce
0.500 0.500 0.273 Nd
0.500 0.500 0.727 Nd
0.000 0.000 0.500 Sn
```

Computed properties:
Polymorph energy (0 for the lowest one) (eV/atom): 0.1074
E (eV/atom): -5.168
Symmetry: No. 123
DFT formation energy (eV/atom): -0.2995


DFT (PBE) results for an optimized crystal structure of CeNd3Sn4.

```
CeNd3Sn4
1.0
6.391 0.000 0.000
0.000 12.833 0.000
0.000 0.000 6.391
Ce Nd Sn
2 6 8
direct
0.250 0.250 0.242 Ce
0.750 0.750 0.758 Ce
0.250 0.000 0.750 Nd
0.250 0.500 0.750 Nd
0.250 0.750 0.257 Nd
0.750 0.000 0.250 Nd
0.750 0.250 0.743 Nd
0.750 0.500 0.250 Nd
0.250 0.003 0.250 Sn
0.250 0.250 0.741 Sn
0.250 0.497 0.250 Sn
0.250 0.750 0.757 Sn
0.750 0.250 0.243 Sn
0.750 0.503 0.750 Sn
0.750 0.750 0.259 Sn
0.750 0.997 0.750 Sn
```

Computed properties:
E (eV/atom): -5.054
Symmetry: No. 59
DFT formation energy (eV/atom): -0.5234


DFT (PBE) results for an optimized crystal structure of CeNd2Sn.

```
CeNd2Sn
1.0
4.981 0.000 0.000
0.000 4.981 0.000
0.000 0.000 4.745
Ce Nd Sn
1 2 1
direct
0.000 0.000 0.000 Ce
0.000 0.500 0.500 Nd
0.500 0.000 0.500 Nd
0.500 0.500 0.000 Sn
```

Computed properties:
Polymorph energy (0 for the lowest one) (eV/atom): 0.0000
E (eV/atom): -5.275
Symmetry: No. 123
DFT formation energy (eV/atom): -0.4069


DFT (PBE) results for an optimized crystal structure of TbCeNdSn.

```
TbCeNdSn
1.0
0.000 3.855 3.855
3.855 0.000 3.855
3.855 3.855 0.000
Tb Ce Nd Sn
1 1 1 1
direct
0.000 0.000 0.000 Tb
0.250 0.250 0.250 Ce
0.500 0.500 0.500 Nd
0.750 0.750 0.750 Sn
```

Computed properties:
E (eV/atom): -5.040
Symmetry: No. 216
DFT formation energy (eV/atom): -0.2059


DFT (PBE) results for an optimized crystal structure of CeNdSnTe.

```
CeNdSnTe
1.0
2.256 1.303 7.402
-2.256 1.303 7.402
0.000 -2.605 7.402
Ce Nd Sn Te
1 1 1 1
direct
0.000 0.000 0.000 Ce
0.505 0.505 0.505 Nd
0.254 0.254 0.254 Sn
0.752 0.752 0.752 Te
```

Computed properties:
ΔE_f (raw) (eV/f.u.): -4.171
E (eV/atom): -5.504
Symmetry: No. 160


DFT (PBE) results for an optimized crystal structure of CeNdThSn.

```
CeNdThSn
1.0
0.000 3.895 3.895
3.895 0.000 3.895
3.895 3.895 0.000
Ce Nd Th Sn
1 1 1 1
direct
0.000 0.000 0.000 Ce
0.750 0.750 0.750 Nd
0.250 0.250 0.250 Th
0.500 0.500 0.500 Sn
```

Computed properties:
E (eV/atom): -5.671
Symmetry: No. 216
DFT formation energy (eV/atom): -0.1402


DFT (PBE) results for an optimized crystal structure of CeNdTlSn.

```
CeNdTlSn
1.0
0.000 3.888 3.888
3.888 0.000 3.888
3.888 3.888 0.000
Ce Nd Tl Sn
1 1 1 1
direct
0.000 0.000 0.000 Ce
0.500 0.500 0.500 Nd
0.750 0.750 0.750 Tl
0.250 0.250 0.250 Sn
```

Computed properties:
Polymorph energy (0 for the lowest one) (eV/atom): 0.0213
E (eV/atom): -4.710
Symmetry: No. 216
DFT formation energy (eV/atom): -0.4425


DFT (PBE) results for an optimized crystal structure of CeNdTlSn.

```
CeNdTlSn
1.0
4.098 0.000 0.000
0.000 4.098 0.000
0.000 0.000 6.949
Ce Nd Tl Sn
1 1 1 1
direct
0.000 0.000 0.000 Ce
0.000 0.000 0.478 Nd
0.500 0.500 0.736 Tl
0.500 0.500 0.239 Sn
```

Computed properties:
Polymorph energy (0 for the lowest one) (eV/atom): 0.0000
E (eV/atom): -4.731
Symmetry: No. 99
DFT formation energy (eV/atom): -0.4638


DFT (PBE) results for an optimized crystal structure of CeNdYSn.

```
CeNdYSn
1.0
0.000 3.857 3.857
3.857 0.000 3.857
3.857 3.857 0.000
Ce Nd Y Sn
1 1 1 1
direct
0.000 0.000 0.000 Ce
0.250 0.250 0.250 Nd
0.750 0.750 0.750 Y
0.500 0.500 0.500 Sn
```

Computed properties:
E (eV/atom): -5.500
Symmetry: No. 216
DFT formation energy (eV/atom): -0.2077


DFT (PBE) results for an optimized crystal structure of CeNdZnSn.

```
CeNdZnSn
1.0
0.000 3.778 3.778
3.778 0.000 3.778
3.778 3.778 0.000
Ce Nd Zn Sn
1 1 1 1
direct
0.000 0.000 0.000 Ce
0.500 0.500 0.500 Nd
0.750 0.750 0.750 Zn
0.250 0.250 0.250 Sn
```

Computed properties:
E (eV/atom): -4.433
Symmetry: No. 216
DFT formation energy (eV/atom): -0.4379


DFT (PBE) results for an optimized crystal structure of SrCe2Nd3Te6.

```
SrCe2Nd3Te6
1.0
9.886 -2.251 0.000
9.886 2.251 0.000
-2.139 0.000 8.869
Sr Ce Nd Te
1 2 3 6
direct
0.000 0.000 0.000 Sr
0.330 0.330 0.661 Ce
0.670 0.670 0.339 Ce
0.000 0.000 0.500 Nd
0.335 0.335 0.173 Nd
0.665 0.665 0.827 Nd
0.165 0.165 0.582 Te
0.169 0.169 0.084 Te
0.498 0.498 0.745 Te
0.502 0.502 0.255 Te
0.831 0.831 0.916 Te
0.835 0.835 0.418 Te
```

Computed properties:
ΔE_f (raw) (eV/f.u.): -17.351
E (eV/atom): -5.338
Symmetry: No. 12


DFT (PBE) results for an optimized crystal structure of SrCe3Nd4Te8.

```
SrCe3Nd4Te8
1.0
4.523 2.611 7.383
-4.523 2.611 7.383
0.000 -5.223 7.383
Sr Ce Nd Te
1 3 4 8
direct
0.000 0.000 0.000 Sr
0.000 0.500 0.500 Ce
0.500 0.000 0.500 Ce
0.500 0.500 0.000 Ce
0.000 0.000 0.500 Nd
0.000 0.500 0.000 Nd
0.500 0.000 0.000 Nd
0.500 0.500 0.500 Nd
0.250 0.250 0.250 Te
0.252 0.252 0.748 Te
0.252 0.748 0.252 Te
0.252 0.748 0.748 Te
0.748 0.252 0.252 Te
0.748 0.252 0.748 Te
0.748 0.748 0.252 Te
0.750 0.750 0.750 Te
```

Computed properties:
ΔE_f (raw) (eV/f.u.): -22.916
E (eV/atom): -5.413
Symmetry: No. 166


DFT (PBE) results for an optimized crystal structure of Sr3Ce3NdTe8.

```
Sr3Ce3NdTe8
1.0
4.559 2.632 7.703
-4.559 2.632 7.703
0.000 -5.264 7.703
Sr Ce Nd Te
3 3 1 8
direct
0.000 0.500 0.500 Sr
0.500 0.000 0.500 Sr
0.500 0.500 0.000 Sr
0.000 0.000 0.500 Ce
0.000 0.500 0.000 Ce
0.500 0.000 0.000 Ce
0.500 0.500 0.500 Nd
0.244 0.747 0.747 Te
0.247 0.247 0.247 Te
0.253 0.253 0.756 Te
0.253 0.756 0.253 Te
0.747 0.244 0.747 Te
0.747 0.747 0.244 Te
0.753 0.753 0.753 Te
0.756 0.253 0.253 Te
```

Computed properties:
ΔE_f (raw) (eV/f.u.): -22.545
E (eV/atom): -5.020
Symmetry: No. 166